Entry from Alexandria: a relaxed Li2MnVP2O8F2 crystal (PBE with a Hubbard U).

Structure (CIF):
```
data_Li2MnVP2O8F2
_cell_length_a 4.927
_cell_length_b 5.115
_cell_length_c 8.268
_cell_angle_alpha 107.22
_cell_angle_beta 92.60
_cell_angle_gamma 108.98
_space_group_name_H-M_alt 'P 1'
_space_group_IT_number 1
_space_group_name_Hall 'P 1'
loop_
_atom_site_label
_atom_site_fract_x
_atom_site_fract_y
_atom_site_fract_z
_atom_site_occupancy
Li1 0.027 0.324 0.349 1
Li2 0.973 0.676 0.651 1
Mn1 0.500 0.000 0.000 1
V1 0.500 0.000 0.500 1
P1 0.074 0.266 0.799 1
P2 0.926 0.734 0.201 1
O1 0.183 0.591 0.825 1
O2 0.185 0.071 0.665 1
O3 0.253 0.880 0.207 1
O4 0.382 0.560 0.484 1
O5 0.618 0.440 0.516 1
O6 0.747 0.120 0.793 1
O7 0.815 0.929 0.335 1
O8 0.817 0.409 0.175 1
F1 0.220 0.254 0.979 1
F2 0.780 0.746 0.021 1
```

total energy: -6.50 eV per atom
space-group type: P-1 (2)
crystal system: triclinic
energy above the most stable polymorph in this dataset: 8.85 kcal/mol of atoms